Compound: Zr3Zn5O12
Source: the Alexandria database
Functional: PBE
Structure: optimized geometry

Summary:
Space-group type ... Ia-3d
Formation energy from raw total energies ... -2.01 eV per atom

Cell: 10.5987 10.5987 10.5987 Å, 109.47 109.47 109.47°
Closest atoms and distances in Å follow each position.
Element x y z (fractional)
Zn 0.5000 0.0000 0.0000  6 O 2.07
O 0.6348 0.5869 0.9132  2 Zn 1.93-2.07
O 0.9520 0.3652 0.2784  2 Zn 1.93-2.07
Zr 0.8750 0.1250 0.2500  8 O 2.28
Zn 0.3750 0.1250 0.7500  4 O 1.93
O 0.1348 0.7216 0.5480  2 Zn 1.93-2.07
O 0.4132 0.1348 0.5869  2 Zn 1.93-2.07
O 0.2784 0.4132 0.8263  2 Zn 1.93-2.07
Zr 0.7500 0.8750 0.6250  8 O 2.28
O 0.2216 0.5480 0.6348  2 Zn 1.93-2.07
O 0.3652 0.4131 0.0868  2 Zn 1.93-2.07
O 0.5868 0.8652 0.4131  2 Zn 1.93-2.07
O 0.7784 0.3263 0.9132  2 Zn 1.93-2.07
O 0.3263 0.7784 0.4132  2 Zn 1.93-2.07
Zn 0.0000 0.5000 0.0000  6 O 2.07
O 0.2216 0.6737 0.0868  2 Zn 1.93-2.07
O 0.9132 0.8263 0.7784  2 Zn 1.93-2.07
O 0.8263 0.9131 0.0480  2 Zn 1.93-2.07
Zr 0.6250 0.2500 0.3750  8 O 2.28
Zn 0.7500 0.1250 0.8750  4 O 1.93
O 0.0869 0.1737 0.4520  2 Zn 1.93-2.07
O 0.3263 0.5480 0.4131  2 Zn 1.93-2.07
O 0.6737 0.4520 0.5869  2 Zn 1.93-2.07
Zr 0.7500 0.3750 0.1250  8 O 2.28
Zn 0.5000 0.0000 0.5000  6 O 2.07
O 0.0868 0.1737 0.2216  2 Zn 1.93-2.07
O 0.5869 0.9520 0.6737  2 Zn 1.93-2.07
O 0.4520 0.7784 0.8652  2 Zn 1.93-2.07
O 0.8652 0.5868 0.9131  2 Zn 1.93-2.07
Zn 0.8750 0.2500 0.6250  4 O 1.93
Zn 0.1250 0.7500 0.3750  4 O 1.93
Zr 0.1250 0.2500 0.8750  8 O 2.28
Zn 0.3750 0.2500 0.1250  4 O 1.93
O 0.7784 0.4520 0.3652  2 Zn 1.93-2.07
Zn 0.2500 0.3750 0.6250  4 O 1.93
Zr 0.8750 0.7500 0.1250  8 O 2.28
O 0.6348 0.0480 0.2216  2 Zn 1.93-2.07
O 0.4520 0.6737 0.0869  2 Zn 1.93-2.07
O 0.1737 0.0868 0.7216  2 Zn 1.93-2.07
Zn 0.7500 0.6250 0.3750  4 O 1.93
O 0.8263 0.9132 0.2784  2 Zn 1.93-2.07
O 0.5480 0.3263 0.9131  2 Zn 1.93-2.07
Zr 0.6250 0.3750 0.7500  8 O 2.28
O 0.0869 0.9132 0.1348  2 Zn 1.93-2.07
Zr 0.2500 0.1250 0.3750  8 O 2.28
O 0.0868 0.9131 0.3652  2 Zn 1.93-2.07
O 0.9131 0.0868 0.8652  2 Zn 1.93-2.07
O 0.1737 0.0869 0.9520  2 Zn 1.93-2.07
O 0.3652 0.9520 0.7784  2 Zn 1.93-2.07
O 0.2784 0.8652 0.9520  2 Zn 1.93-2.07
O 0.8652 0.2784 0.4520  2 Zn 1.93-2.07
Zn 0.0000 0.5000 0.5000  6 O 2.07
O 0.5480 0.2216 0.1348  2 Zn 1.93-2.07
Zr 0.3750 0.6250 0.2500  8 O 2.28
O 0.9132 0.0869 0.6348  2 Zn 1.93-2.07
Zr 0.1250 0.8750 0.7500  8 O 2.28
Zn 0.2500 0.8750 0.1250  4 O 1.93
Zn 0.6250 0.7500 0.8750  4 O 1.93
Zr 0.3750 0.7500 0.6250  8 O 2.28
Zn 0.5000 0.5000 0.5000  6 O 2.07
Zn 0.0000 0.0000 0.0000  6 O 2.07
O 0.9131 0.8263 0.5480  2 Zn 1.93-2.07
Zn 0.1250 0.3750 0.2500  4 O 1.93
O 0.7216 0.1348 0.0480  2 Zn 1.93-2.07
Zn 0.5000 0.5000 0.0000  6 O 2.07
O 0.4131 0.3652 0.5868  2 Zn 1.93-2.07
O 0.1348 0.4132 0.0869  2 Zn 1.93-2.07
O 0.4131 0.0480 0.3263  2 Zn 1.93-2.07
Zn 0.8750 0.6250 0.7500  4 O 1.93
O 0.9520 0.5869 0.1737  2 Zn 1.93-2.07
O 0.5868 0.7216 0.6737  2 Zn 1.93-2.07
O 0.0480 0.4131 0.8263  2 Zn 1.93-2.07
O 0.7216 0.5868 0.1737  2 Zn 1.93-2.07
O 0.6737 0.2216 0.5868  2 Zn 1.93-2.07
O 0.0480 0.6348 0.7216  2 Zn 1.93-2.07
Zn 0.0000 0.0000 0.5000  6 O 2.07
Zr 0.2500 0.6250 0.8750  8 O 2.28
O 0.5869 0.6348 0.4132  2 Zn 1.93-2.07
Zn 0.6250 0.8750 0.2500  4 O 1.93
O 0.4132 0.2784 0.3263  2 Zn 1.93-2.07

---

Compound: NdTmTeSe
Source: the Alexandria database
Functional: PBE
Structure: optimized geometry

Summary:
Space-group type ... R3m
Formation energy from raw total energies ... -1.55 eV per atom

Cell: 4.1056 4.1076 7.8713 Å, 90.00 105.10 120.01°
Closest atoms and distances in Å follow each position.
Element x y z (fractional)
Nd 0.1168 0.9564 0.0881  3 Se 2.94, 3 Te 3.22
Te 0.9769 0.3865 0.3784  3 Tm 3.11, 3 Nd 3.22
Tm 0.4891 0.1425 0.6472  3 Se 2.84, 3 Te 3.11
Se 0.2951 0.5455 0.8560  3 Tm 2.84, 3 Nd 2.94

---

Compound: Co2Tc
Source: the Alexandria database
Functional: PBE
Structure: optimized geometry

Summary:
Space-group type ... P6_3/mmc
Energy of formation from the pure elements ... 0.204 eV/atom
Excess energy over the best structure of this formula in the dataset ... 211 meV per atom

Cell: 4.0926 4.0926 5.0152 Å, 90.00 90.00 120.00°
Closest atoms and distances in Å follow each position.
Element x y z (fractional)
Tc 0.6667 0.3333 0.2500  5 Co 2.36-2.51
Co 0.0000 0.0000 0.5000  8 Co 2.51-2.67, 6 Tc 2.67
Co 0.6667 0.3333 0.7500  5 Tc 2.36-2.51
Co 0.0000 0.0000 0.0000  8 Co 2.51-2.67, 6 Tc 2.67
Co 0.3333 0.6667 0.2500  5 Tc 2.36-2.51
Tc 0.3333 0.6667 0.7500  5 Co 2.36-2.51

---

Compound: BeCo2MoH
Source: the Alexandria database
Functional: PBE
Structure: optimized geometry

Summary:
Space-group type ... P4/mmm
Excess energy over the best structure of this formula in the dataset ... 0 meV per atom

Cell: 3.5346 3.5346 3.8738 Å, 90.00 90.00 90.00°
Closest atoms and distances in Å follow each position.
Element x y z (fractional)
Co 0.0000 0.5000 0.0000  2 H 1.77
Co 0.5000 0.0000 0.0000  2 H 1.77
Be 0.5000 0.5000 0.5000  4 Mo 2.50, 8 Co 2.62
H 0.0000 0.0000 0.0000  4 Co 1.77, 2 Mo 1.94
Mo 0.0000 0.0000 0.5000  2 H 1.94

---

Compound: LiPrHg5
Source: the Alexandria database
Functional: PBE
Structure: optimized geometry

Summary:
Space-group type ... Cmmm
Energy of formation from the pure elements ... -0.225 eV/atom

Cell: 5.3708 5.3708 6.8207 Å, 90.00 90.00 108.23°
Closest atoms and distances in Å follow each position.
Element x y z (fractional)
Hg 0.0000 0.0000 0.5000  2 Li 3.15, 8 Hg 3.16, 2 Pr 3.41
Hg 0.5000 0.0000 0.2548  6 Hg 3.15-3.48, 2 Li 3.16, 2 Pr 3.20
Hg 0.0000 0.5000 0.2548  6 Hg 3.15-3.48, 2 Li 3.16, 2 Pr 3.20
Hg 0.0000 0.5000 0.7452  6 Hg 3.15-3.48, 2 Li 3.16, 2 Pr 3.20
Pr 0.0000 0.0000 0.0000  10 Hg 3.20-3.41
Hg 0.5000 0.0000 0.7452  6 Hg 3.15-3.48, 2 Li 3.16, 2 Pr 3.20
Li 0.5000 0.5000 0.5000  10 Hg 3.15-3.16

---

Compound: PaCrCl
Source: the Alexandria database
Functional: PBE
Structure: optimized geometry

Summary:
Space-group type ... P-1
Formation energy from raw total energies ... -0.70 eV per atom

Cell: 4.2341 3.8781 11.3657 Å, 97.54 110.85 56.94°
Closest atoms and distances in Å follow each position.
Element x y z (fractional)
Cl 0.3757 0.1018 0.1613  3 Pa 2.74-3.03
Cr 0.1299 0.1760 0.4664  1 Pa 2.21, 1 Cr 2.28
Pa 0.2444 0.6911 0.3323  1 Cr 2.21
Pa 0.7556 0.3089 0.6677  1 Cr 2.21
Cl 0.6243 0.8982 0.8387  3 Pa 2.74-3.03
Cr 0.8701 0.8240 0.5336  1 Pa 2.21, 1 Cr 2.28

---

Compound: Mg29Ir4
Source: the Alexandria database
Functional: PBE
Structure: optimized geometry

Summary:
Space-group type ... F-43m
Energy of formation from the pure elements ... -0.192 eV/atom

Cell: 14.2053 14.2053 14.2053 Å, 60.00 60.00 60.00°
Closest atoms and distances in Å follow each position.
Element x y z (fractional)
Mg 0.3015 0.3015 0.3015  3 Ir 2.83, 9 Mg 2.93-2.96
Mg 0.1819 0.5188 0.7805  1 Ir 2.76, 3 Mg 2.96-3.01
Mg 0.0055 0.6648 0.6648  10 Mg 2.96-3.20
Mg 0.0339 0.0339 0.6806  2 Ir 2.77-2.95, 9 Mg 2.96-3.09
Mg 0.7500 0.7500 0.7500  4 Mg 2.96
Ir 0.9007 0.2978 0.9007  12 Mg 2.82-2.95
Mg 0.8929 0.8929 0.1071  2 Ir 2.82, 10 Mg 2.97-3.04
Mg 0.4295 0.0705 0.4295  8 Mg 2.96-3.15, 2 Ir 3.05
Ir 0.4046 0.4046 0.7861  9 Mg 2.69-2.76
Mg 0.0339 0.2516 0.6806  2 Ir 2.77-2.95, 9 Mg 2.96-3.09
Mg 0.1167 0.7690 0.7690  1 Ir 2.90, 8 Mg 2.97-3.25
Mg 0.9097 0.4878 0.9097  1 Ir 2.83, 6 Mg 2.91-3.08
Mg 0.5188 0.1819 0.5188  1 Ir 2.76, 3 Mg 2.96-3.01
Mg 0.6806 0.0339 0.0339  2 Ir 2.77-2.95, 9 Mg 2.96-3.09
Ir 0.4976 0.1675 0.1675  12 Mg 2.77-3.05
Mg 0.2709 0.5352 0.9231  2 Ir 2.69-2.89, 1 Mg 2.95
Mg 0.7805 0.1819 0.5188  1 Ir 2.76, 3 Mg 2.96-3.01
Mg 0.0339 0.6806 0.0339  2 Ir 2.77-2.95, 9 Mg 2.96-3.09
Mg 0.6163 0.3837 0.6163  2 Ir 2.74
Ir 0.9007 0.9007 0.2978  12 Mg 2.82-2.95
Mg 0.3015 0.3015 0.0954  3 Ir 2.83, 9 Mg 2.93-2.96
Mg 0.0954 0.3015 0.3015  3 Ir 2.83, 9 Mg 2.93-2.96
Mg 0.4878 0.6929 0.9097  1 Ir 2.83, 6 Mg 2.91-3.08
Ir 0.1675 0.1675 0.1675  12 Mg 2.77-3.05
Mg 0.5188 0.7805 0.1819  1 Ir 2.76, 3 Mg 2.96-3.01
Mg 0.3837 0.6163 0.6163  2 Ir 2.74
Mg 0.8929 0.1071 0.8929  2 Ir 2.82, 10 Mg 2.97-3.04
Mg 0.9231 0.2709 0.2709  2 Ir 2.69-2.89, 1 Mg 2.95
Mg 0.6163 0.6163 0.3837  2 Ir 2.74
Mg 0.0705 0.0705 0.4295  8 Mg 2.96-3.15, 2 Ir 3.05
Mg 0.6929 0.9097 0.4878  1 Ir 2.83, 6 Mg 2.91-3.08
Mg 0.9231 0.2709 0.5352  2 Ir 2.69-2.89, 1 Mg 2.95
Mg 0.2709 0.2709 0.5352  2 Ir 2.69-2.89, 1 Mg 2.95
Mg 0.2516 0.0339 0.0339  2 Ir 2.77-2.95, 9 Mg 2.96-3.09
Ir 0.1675 0.4976 0.1675  12 Mg 2.77-3.05
Mg 0.2709 0.5352 0.2709  2 Ir 2.69-2.89, 1 Mg 2.95
Mg 0.5352 0.9231 0.2709  2 Ir 2.69-2.89, 1 Mg 2.95
Mg 0.3015 0.0954 0.3015  3 Ir 2.83, 9 Mg 2.93-2.96
Mg 0.1167 0.7690 0.3454  1 Ir 2.90, 8 Mg 2.97-3.25
Mg 0.3454 0.7690 0.1167  1 Ir 2.90, 8 Mg 2.97-3.25
Mg 0.6929 0.4878 0.9097  1 Ir 2.83, 6 Mg 2.91-3.08
Ir 0.9007 0.9007 0.9007  12 Mg 2.82-2.95
Mg 0.1819 0.7805 0.5188  1 Ir 2.76, 3 Mg 2.96-3.01
Mg 0.1167 0.3454 0.7690  1 Ir 2.90, 8 Mg 2.97-3.25
Mg 0.2516 0.0339 0.6806  2 Ir 2.77-2.95, 9 Mg 2.96-3.09
Mg 0.6163 0.3837 0.3837  2 Ir 2.74
Mg 0.5352 0.2709 0.2709  2 Ir 2.69-2.89, 1 Mg 2.95
Ir 0.4046 0.7861 0.4046  9 Mg 2.69-2.76
Mg 0.7690 0.3454 0.1167  1 Ir 2.90, 8 Mg 2.97-3.25
Mg 0.5352 0.2709 0.9231  2 Ir 2.69-2.89, 1 Mg 2.95
Mg 0.4878 0.9097 0.9097  1 Ir 2.83, 6 Mg 2.91-3.08
Mg 0.6806 0.0339 0.2516  2 Ir 2.77-2.95, 9 Mg 2.96-3.09
Mg 0.5188 0.5188 0.7805  1 Ir 2.76, 3 Mg 2.96-3.01
Mg 0.7805 0.5188 0.5188  1 Ir 2.76, 3 Mg 2.96-3.01
Mg 0.0705 0.4295 0.0705  8 Mg 2.96-3.15, 2 Ir 3.05
Mg 0.5188 0.5188 0.1819  1 Ir 2.76, 3 Mg 2.96-3.01
Mg 0.1071 0.1071 0.8929  2 Ir 2.82, 10 Mg 2.97-3.04
Mg 0.2709 0.9231 0.2709  2 Ir 2.69-2.89, 1 Mg 2.95
Mg 0.5188 0.7805 0.5188  1 Ir 2.76, 3 Mg 2.96-3.01
Mg 0.7690 0.1167 0.3454  1 Ir 2.90, 8 Mg 2.97-3.25
Mg 0.1819 0.5188 0.5188  1 Ir 2.76, 3 Mg 2.96-3.01
Mg 0.2709 0.2709 0.9231  2 Ir 2.69-2.89, 1 Mg 2.95
Mg 0.6806 0.2516 0.0339  2 Ir 2.77-2.95, 9 Mg 2.96-3.09
Mg 0.6648 0.6648 0.0055  10 Mg 2.96-3.20
Ir 0.7861 0.4046 0.4046  9 Mg 2.69-2.76
Mg 0.0339 0.6806 0.2516  2 Ir 2.77-2.95, 9 Mg 2.96-3.09
Mg 0.9097 0.9097 0.6929  1 Ir 2.83, 6 Mg 2.91-3.08
Mg 0.9097 0.9097 0.4878  1 Ir 2.83, 6 Mg 2.91-3.08
Ir 0.4046 0.4046 0.4046  9 Mg 2.69-2.76
Mg 0.1071 0.8929 0.8929  2 Ir 2.82, 10 Mg 2.97-3.04
Mg 0.7690 0.3454 0.7690  1 Ir 2.90, 8 Mg 2.97-3.25
Mg 0.2516 0.6806 0.0339  2 Ir 2.77-2.95, 9 Mg 2.96-3.09
Mg 0.9097 0.6929 0.9097  1 Ir 2.83, 6 Mg 2.91-3.08
Mg 0.3454 0.7690 0.7690  1 Ir 2.90, 8 Mg 2.97-3.25
Mg 0.0339 0.0339 0.2516  2 Ir 2.77-2.95, 9 Mg 2.96-3.09
Mg 0.0339 0.2516 0.0339  2 Ir 2.77-2.95, 9 Mg 2.96-3.09
Mg 0.1071 0.8929 0.1071  2 Ir 2.82, 10 Mg 2.97-3.04
Mg 0.4878 0.9097 0.6929  1 Ir 2.83, 6 Mg 2.91-3.08
Mg 0.6648 0.0055 0.6648  10 Mg 2.96-3.20
Mg 0.2709 0.9231 0.5352  2 Ir 2.69-2.89, 1 Mg 2.95
Mg 0.6648 0.6648 0.6648  10 Mg 2.96-3.20
Ir 0.2978 0.9007 0.9007  12 Mg 2.82-2.95
Mg 0.7690 0.7690 0.1167  1 Ir 2.90, 8 Mg 2.97-3.25
Mg 0.0705 0.4295 0.4295  8 Mg 2.96-3.15, 2 Ir 3.05
Mg 0.7805 0.5188 0.1819  1 Ir 2.76, 3 Mg 2.96-3.01
Mg 0.9097 0.6929 0.4878  1 Ir 2.83, 6 Mg 2.91-3.08
Ir 0.1675 0.1675 0.4976  12 Mg 2.77-3.05
Mg 0.8929 0.1071 0.1071  2 Ir 2.82, 10 Mg 2.97-3.04
Mg 0.6929 0.9097 0.9097  1 Ir 2.83, 6 Mg 2.91-3.08
Mg 0.3454 0.1167 0.7690  1 Ir 2.90, 8 Mg 2.97-3.25
Mg 0.9231 0.5352 0.2709  2 Ir 2.69-2.89, 1 Mg 2.95
Mg 0.4295 0.4295 0.0705  8 Mg 2.96-3.15, 2 Ir 3.05
Mg 0.9097 0.4878 0.6929  1 Ir 2.83, 6 Mg 2.91-3.08
Mg 0.7690 0.7690 0.3454  1 Ir 2.90, 8 Mg 2.97-3.25
Mg 0.7690 0.1167 0.7690  1 Ir 2.90, 8 Mg 2.97-3.25
Mg 0.3837 0.6163 0.3837  2 Ir 2.74
Mg 0.4295 0.0705 0.0705  8 Mg 2.96-3.15, 2 Ir 3.05
Mg 0.3837 0.3837 0.6163  2 Ir 2.74
Mg 0.5188 0.1819 0.7805  1 Ir 2.76, 3 Mg 2.96-3.01

---

Compound: InCu2SiIr
Source: the Alexandria database
Functional: PBE
Structure: optimized geometry

Summary:
Space-group type ... P4/mmm
Formation energy from raw total energies ... 0.36 eV per atom
Excess energy over the best structure of this formula in the dataset ... 0 meV per atom

Cell: 4.3813 4.5595 4.3813 Å, 90.00 90.00 90.00°
Closest atoms and distances in Å follow each position.
Element x y z (fractional)
Cu 0.0000 0.0000 0.5000  2 Si 2.19
Ir 0.0000 0.5000 0.0000  2 Si 2.28
Cu 0.5000 0.0000 0.0000  2 Si 2.19
Si 0.0000 0.0000 0.0000  4 Cu 2.19, 2 Ir 2.28
In 0.5000 0.5000 0.5000  4 Ir 3.10, 8 Cu 3.16

---

Compound: PmTh2Be2Pt7
Source: the Alexandria database
Functional: PBE
Structure: optimized geometry

Summary:
Space-group type ... C2/m
Energy of formation from the pure elements ... -0.968 eV/atom

Cell: 4.4200 4.4200 12.0790 Å, 82.40 82.40 96.58°
Closest atoms and distances in Å follow each position.
Element x y z (fractional)
Pt 0.8298 0.3971 0.1913  2 Be 2.18-2.33
Pt 0.2995 0.2995 0.3730  1 Be 2.31
Th 0.8027 0.8027 0.3789  7 Pt 2.91-3.21
Pt 0.7005 0.7005 0.6270  1 Be 2.31
Pt 0.5000 0.5000 0.0000  2 Be 2.26
Pt 0.3971 0.8298 0.1913  2 Be 2.18-2.33
Pt 0.6029 0.1702 0.8087  2 Be 2.18-2.33
Be 0.6946 0.6946 0.8187  6 Pt 2.18-2.33
Th 0.1973 0.1973 0.6211  7 Pt 2.91-3.21
Be 0.3054 0.3054 0.1813  6 Pt 2.18-2.33
Pt 0.1702 0.6029 0.8087  2 Be 2.18-2.33
Pm 0.0000 0.0000 0.0000  10 Pt 2.94-3.23, 2 Be 3.10

---

Compound: ErGaPd2
Source: the Alexandria database
Functional: PBE
Structure: optimized geometry

Summary:
Space-group type ... P4/mmm
Energy of formation from the pure elements ... -0.747 eV/atom

Cell: 3.3776 3.3776 6.3217 Å, 90.00 90.00 90.00°
Closest atoms and distances in Å follow each position.
Element x y z (fractional)
Pd 0.0000 0.0000 0.2227  4 Ga 2.77, 1 Pd 2.82, 4 Er 2.96
Pd 0.0000 0.0000 0.7773  4 Ga 2.77, 1 Pd 2.82, 4 Er 2.96
Ga 0.5000 0.5000 0.0000  8 Pd 2.77
Er 0.5000 0.5000 0.5000  8 Pd 2.96, 2 Ga 3.16

---

Compound: Ga2SnH2
Source: the Alexandria database
Functional: PBE
Structure: optimized geometry

Summary:
Space-group type ... I4/mmm

Cell: 3.4053 3.4053 6.8396 Å, 75.58 75.58 90.00°
Closest atoms and distances in Å follow each position.
Element x y z (fractional)
Ga 0.3394 0.3394 0.3211  4 H 2.05
Sn 0.0000 0.0000 0.0000  8 Ga 3.17, 4 Sn 3.41
H 0.7500 0.2500 0.5000  4 Ga 2.05
H 0.2500 0.7500 0.5000  4 Ga 2.05
Ga 0.6606 0.6606 0.6789  4 H 2.05

---

Compound: Y2Ga6Rh
Source: the Alexandria database
Functional: PBE
Structure: optimized geometry

Summary:
Space-group type ... C2/m
Energy of formation from the pure elements ... -0.601 eV/atom

Cell: 5.7252 5.8293 5.8293 Å, 59.97 90.06 90.06°
Closest atoms and distances in Å follow each position.
Element x y z (fractional)
Y 0.8503 0.6666 0.6666  12 Ga 3.07-3.43
Ga 0.3198 0.3515 0.8245  1 Rh 2.55, 4 Ga 2.72-2.76
Ga 0.3198 0.8245 0.3515  1 Rh 2.55, 4 Ga 2.72-2.76
Y 0.1497 0.3334 0.3334  12 Ga 3.07-3.43
Ga 0.6807 0.1756 0.1756  1 Rh 2.55, 4 Ga 2.72-2.76
Rh 0.0000 0.0000 0.0000  6 Ga 2.55
Ga 0.3193 0.8244 0.8244  1 Rh 2.55, 4 Ga 2.72-2.76
Ga 0.6802 0.6485 0.1755  1 Rh 2.55, 4 Ga 2.72-2.76
Ga 0.6802 0.1755 0.6485  1 Rh 2.55, 4 Ga 2.72-2.76

---

| no. | volume (Å³/cell) | energy (eV for the cell shown) |
| --- | --- | --- |
| 1 | 916.5 | -527.01 |
| 2 | 109.6 | -22.05 |
| 3 | 72.7 | -47.93 |
| 4 | 48.4 | -31.61 |
| 5 | 186.9 | -9.78 |
| 6 | 145.7 | -46.15 |
| 7 | 2026.9 | -264.07 |
| 8 | 87.5 | -23.43 |
| 9 | 229.7 | -80.94 |
| 10 | 72.1 | -20.96 |
| 11 | 74.2 | -15.38 |
| 12 | 168.4 | -43.85 |